# 1
A relaxed Cs2NdGeSe4 crystal, computed with PBE.

Cell: 6.907 15.190 26.686 Å, 90.00 90.00 90.00°
Space group Fddd (No. 70, origin choice 2)
One atom of each set of equivalent atoms:
Cs 0.125 0.125 0.307 (multiplicity 16)
Nd 0.125 0.125 0.125 (multiplicity 8)
Ge 0.125 0.125 0.625 (multiplicity 8)
Se 0.098 0.276 0.823 (multiplicity 32)

Properties
* crystal system: orthorhombic
* uncorrected formation energy: -1.041 eV per atom

***

# 2
A relaxed PaCdHg2 crystal, computed with PBE.

Cell: 3.319 3.319 8.552 Å, 90.00 90.00 90.00°
Space group P4/mmm (No. 123)
One atom of each set of equivalent atoms:
Pa 0.000 0.000 0.000 (multiplicity 1)
Cd 0.000 0.000 0.500 (multiplicity 1)
Hg 0.500 0.500 0.263 (multiplicity 2)

Properties
* crystal system: tetragonal
* E above lowest polymorph: 0.17 eV per formula unit
* formation energy: 58.8 meV/atom

***

# 3
A relaxed Sm3Al4Au4 crystal, computed with PBE.

Cell: 4.007 4.537 26.410 Å, 90.00 90.00 90.00°
Space group Immm (No. 71)
One atom of each set of equivalent atoms:
Sm 0.000 0.000 0.000 (multiplicity 2)
Sm 0.000 0.500 0.147 (multiplicity 4)
Al 0.000 0.000 0.450 (multiplicity 4)
Al 0.000 0.500 0.307 (multiplicity 4)
Au 0.000 0.000 0.256 (multiplicity 4)
Au 0.000 0.500 0.404 (multiplicity 4)

Properties
* crystal system: orthorhombic
* formation energy: -680.7 meV/atom

***

# 4
A relaxed TeSe2BrO crystal, computed with PBE.

Cell: 4.226 4.226 6.175 Å, 90.00 90.00 90.00°
Space group P4/mmm (No. 123)
One atom of each set of equivalent atoms:
Te 0.000 0.000 0.000 (multiplicity 1)
Se 0.000 0.500 0.500 (multiplicity 2)
Br 0.500 0.500 0.000 (multiplicity 1)
O 0.500 0.500 0.500 (multiplicity 1)

Properties
* crystal system: tetragonal
* E above lowest polymorph: 0.00 eV per formula unit
* uncorrected formation energy: 0.383 eV per atom

***

Summary of total moment in μB/f.u.
0.00 1.23 0.00 0.00
(order as listed above)